(1)
Compound: MgTcPb2
Source: the Alexandria database
Functional: PBE
Structure: relaxed

It has space group P4/mmm (No. 123), with a = 3.519 Å, b = 3.519 Å, c = 7.181 Å, α = 90.00°, β = 90.00° and γ = 90.00°. The inequivalent atoms are Mg at (0.000, 0.000, 0.000), Tc at (0.000, 0.000, 0.500) and Pb at (0.500, 0.500, 0.279).


(2)
Compound: Mg2TcPb
Source: the Alexandria database
Functional: PBE
Structure: relaxed

It has space group Cmmm (No. 65), with a = 3.687 Å, b = 4.772 Å, c = 9.547 Å, α = 90.00°, β = 90.00° and γ = 90.00°. The inequivalent atoms are Mg at (0.000, 0.000, 0.206), Tc at (0.000, 0.500, 0.000) and Pb at (0.000, 0.500, 0.500).


(3)
Compound: MgTcPb
Source: the Alexandria database
Functional: PBE
Structure: relaxed

The energy above the most stable polymorph in this dataset comes out at 0.1711 eV/atom.

It has space group I4mm (No. 107), with a = 3.108 Å, b = 3.108 Å, c = 13.294 Å, α = 90.00°, β = 90.00° and γ = 90.00°. The inequivalent atoms are Mg at (0.000, 0.000, 0.000), Tc at (0.000, 0.000, 0.633) and Pb at (0.000, 0.000, 0.286).


(4)
Compound: MgTcPb2
Source: the Alexandria database
Functional: PBE
Structure: relaxed

It has space group R-3m (No. 166, hexagonal axes), with a = 3.4304 Å, b = 3.4304 Å, c = 27.1507 Å, α = 90.00°, β = 90.00° and γ = 120.00°. The inequivalent atoms are Mg at (0.0000, 0.0000, 0.0000), Tc at (0.0000, 0.0000, 0.5000) and Pb at (0.0000, 0.0000, 0.2411).


(5)
Compound: Mg2TcPb
Source: the Alexandria database
Functional: PBE
Structure: relaxed

It has space group Imm2 (No. 44), with a = 3.851 Å, b = 4.409 Å, c = 8.934 Å, α = 90.00°, β = 90.00° and γ = 90.00°. The inequivalent atoms are Mg at (0.000, 0.000, 0.000), Mg at (0.000, 0.500, 0.244), Tc at (0.000, 0.000, 0.501) and Pb at (0.000, 0.500, 0.755).


(6)
Compound: MgTcPb
Source: the Alexandria database
Functional: PBE
Structure: relaxed

The energy above the most stable polymorph in this dataset comes out at 0.0000 eV/atom.

It has space group P-1 (No. 2), with a = 4.629 Å, b = 4.997 Å, c = 6.838 Å, α = 90.92°, β = 109.71° and γ = 117.48°. The inequivalent atoms are Mg at (0.231, 0.341, 0.120), Tc at (0.414, 0.008, 0.823) and Pb at (0.050, 0.745, 0.352).


(7)
Compound: Mg2TcPb
Source: the Alexandria database
Functional: PBE
Structure: relaxed

It has space group P4/mmm (No. 123), with a = 3.613 Å, b = 3.613 Å, c = 5.994 Å, α = 90.00°, β = 90.00° and γ = 90.00°. The inequivalent atoms are Mg at (0.000, 0.000, 0.217), Tc at (0.500, 0.500, 0.000) and Pb at (0.500, 0.500, 0.500).


(8)
Compound: MgTcPb
Source: the Alexandria database
Functional: PBE
Structure: relaxed

The energy above the most stable polymorph in this dataset comes out at 0.1925 eV/atom.

It has space group P-6m2 (No. 187), with a = 4.8052 Å, b = 4.8052 Å, c = 2.9913 Å, α = 90.00°, β = 90.00° and γ = 120.00°. The inequivalent atoms are Mg at (0.0000, 0.0000, 0.0000), Tc at (0.3333, 0.6667, 0.5000) and Pb at (0.6667, 0.3333, 0.5000).


Number 1: energy relative to the elements 0.38 eV/atom, total magnetization 0.00 μB per formula unit. Number 2: energy relative to the elements 0.30 eV/atom, total magnetization 0.00 μB per formula unit. Number 3: energy relative to the elements 0.47 eV/atom, total magnetization 1.36 μB per formula unit. Number 4: energy relative to the elements 0.39 eV/atom, total magnetization 0.00 μB per formula unit. Number 5: energy relative to the elements 0.21 eV/atom, total magnetization 0.00 μB per formula unit. Number 6: energy relative to the elements 0.30 eV/atom, total magnetization 0.00 μB per formula unit. Number 7: energy relative to the elements 0.28 eV/atom, total magnetization 0.01 μB per formula unit. Number 8: energy relative to the elements 0.49 eV/atom, total magnetization 0.00 μB per formula unit.